[1]
The following is a PBE-GGA calculation of NaOsO3 after structural relaxation, from Alexandria.

The structure in POSCAR format:
```
NaOsO3
1.0
-2.850 0.549 -5.872
-3.567 -0.339 4.347
-3.587 5.380 1.051
Os O Na
2 6 2
Cartesian
-3.422 1.814 0.922
-7.999 5.343 1.016
-2.213 2.093 -0.348
-2.798 1.175 2.461
-7.720 4.074 2.233
-4.760 2.985 0.990
-6.092 0.497 -0.283
-6.974 5.278 -0.433
-3.338 2.187 -2.691
-4.464 5.299 0.203
```

Computed properties:
The calculated volume is 90.5 Å³/f.u. Its total magnetization is 0.00 μB/atom. As for the space-group type: Cm.



[2]
The following is a PBE-GGA calculation of Na3OsO4 after structural relaxation, from Alexandria.

The structure in POSCAR format:
```
Na3OsO4
1.0
-0.733 -0.199 5.429
-3.657 -3.659 -2.570
4.481 -4.780 0.430
O Na Os
8 6 2
Cartesian
-2.837 -3.522 0.670
0.360 -7.423 3.727
1.490 -4.204 4.924
2.928 -5.116 2.619
-1.399 -4.434 -1.635
-0.269 -1.215 -0.438
-0.241 -6.160 1.226
0.332 -2.478 2.063
1.162 -1.975 4.236
1.928 -6.082 0.450
2.586 -3.004 1.623
-1.837 -2.556 2.839
-0.318 -3.686 0.235
0.409 -4.952 3.054
0.388 -0.659 1.412
3.360 -4.320 4.447
```

Computed properties:
The calculated volume is 98.0 Å³/f.u. Its total magnetization is 0.38 μB/atom. As for the space-group type: P2/c. The calculation puts the energy above the lowest structure with this stoichiometry at 0.00 eV/f.u.



[3]
The following is a PBE-GGA calculation of NaOsO3 after structural relaxation, from Alexandria.

The structure in POSCAR format:
```
NaOsO3
1.0
-2.329 -1.760 -0.737
3.159 -2.309 -4.471
0.526 -2.863 5.180
Na O Os
1 3 1
Cartesian
-0.467 -3.707 4.182
1.262 -4.460 0.515
1.141 -2.734 2.925
-0.122 -2.517 0.249
1.609 -2.635 1.210
```

Computed properties:
The calculated volume is 96.4 Å³/f.u. Its total magnetization is 0.20 μB/atom. As for the space-group type: Amm2.



[4]
The following is a PBE-GGA calculation of Na6OsO8 after structural relaxation, from Alexandria.

The structure in POSCAR format:
```
Na6OsO8
1.0
-5.758 1.307 0.359
0.224 -0.713 -5.868
-0.460 -5.725 1.415
O Na Os
8 6 1
Cartesian
-1.424 -1.306 -5.100
-5.426 -0.454 -0.308
-0.568 -4.677 -3.786
-1.369 -5.275 -0.206
-2.527 -2.163 -1.726
-4.625 0.144 -3.888
-3.468 -2.969 -2.368
-4.571 -3.825 1.006
-5.360 -3.410 -1.246
-3.184 -0.095 -1.152
-2.810 -5.036 -2.942
-4.284 -2.215 -4.318
-1.710 -2.916 0.224
-0.634 -1.722 -2.848
0.000 0.000 0.000
```

Computed properties:
The calculated volume is 201.8 Å³/f.u. Its total magnetization is 0.01 μB/atom. As for the space-group type: R-3.



[5]
The following is a PBE-GGA calculation of NaOs2O8 after structural relaxation, from Alexandria.

The structure in POSCAR format:
```
NaOs2O8
1.0
6.280 0.000 0.000
-3.140 5.438 0.000
0.000 0.000 6.713
Os O Na
2 8 1
Cartesian
3.140 1.813 1.441
0.000 3.626 5.272
3.140 1.813 6.415
0.000 1.983 4.689
-1.423 4.447 4.689
3.140 3.455 2.024
1.423 4.447 4.689
4.562 0.991 2.024
1.717 0.991 2.024
0.000 3.626 0.298
0.000 0.000 3.357
```

Computed properties:
The calculated volume is 229.3 Å³/f.u. Its total magnetization is 0.10 μB/atom. As for the space-group type: P-3m1. The calculation puts the energy above the lowest structure with this stoichiometry at 0.00 eV/f.u.



[6]
The following is a PBE-GGA calculation of NaOsO3 after structural relaxation, from Alexandria.

The structure in POSCAR format:
```
NaOsO3
1.0
-0.505 -0.992 4.818
-2.660 -4.043 -1.017
4.084 -2.787 -0.051
O Na Os
3 1 1
Cartesian
0.930 -4.931 -0.079
2.142 -3.214 3.204
-1.653 -3.921 2.661
0.445 -3.787 1.816
0.780 -6.632 3.181
```

Computed properties:
The calculated volume is 120.8 Å³/f.u. Its total magnetization is 0.20 μB/atom. As for the space-group type: R3m.



[7]
The following is a PBE-GGA calculation of Na4OsO5 after structural relaxation, from Alexandria.

The structure in POSCAR format:
```
Na4OsO5
1.0
-3.341 -2.227 2.706
1.913 -4.425 3.051
-0.601 2.061 5.286
O Na Os
5 4 1
Cartesian
-1.455 -0.970 1.178
-2.944 -1.789 7.871
0.928 -2.793 3.162
-2.371 -1.748 4.280
0.355 -2.834 6.753
-0.542 -0.543 3.288
-0.994 -3.591 4.552
-1.542 -4.085 7.801
-1.090 -1.036 6.536
-0.164 -0.109 0.133
```

Computed properties:
The calculated volume is 129.2 Å³/f.u. Its total magnetization is 0.20 μB/atom. As for the space-group type: I4.



[8]
The following is a PBE-GGA calculation of NaOsO3 after structural relaxation, from Alexandria.

The structure in POSCAR format:
```
NaOsO3
1.0
-14.894 -4.398 7.213
2.344 -4.244 2.253
6.013 2.973 -0.656
O Na Os
12 4 4
Cartesian
4.094 -1.458 1.557
-7.146 -2.231 6.234
-3.895 -4.036 5.794
-8.190 -4.604 6.232
-10.631 -4.212 7.252
1.654 -1.066 2.578
-6.007 -5.780 5.830
-0.529 0.111 2.980
-2.642 -1.633 3.016
0.609 -3.439 2.576
-9.958 -2.654 5.399
3.422 -3.015 3.411
-0.286 -1.194 1.180
-4.711 -1.934 4.473
-6.250 -4.476 7.630
-1.825 -3.736 4.337
2.668 -0.071 1.229
1.606 -2.560 3.990
-8.143 -3.110 4.820
-9.205 -5.598 7.581
```

Computed properties:
The calculated volume is 56.6 Å³/f.u. Its total magnetization is 0.00 μB/atom. As for the space-group type: P2_1/c.



[9]
The following is a PBE-GGA calculation of NaOsO3 after structural relaxation, from Alexandria.

The structure in POSCAR format:
```
NaOsO3
1.0
-2.074 2.761 -1.568
0.049 -1.845 -3.313
-9.666 -4.535 0.212
O Na Os
6 2 2
Cartesian
-8.041 -4.860 -2.508
-4.190 -1.375 -1.467
-2.219 -1.863 -3.337
-8.058 -4.219 -1.357
-2.940 -0.903 -3.882
-7.501 -2.244 -3.203
-5.315 -2.961 -2.771
0.000 0.000 0.000
-5.384 -0.086 -2.203
-7.368 -1.230 -1.594
```

Computed properties:
The calculated volume is 74.3 Å³/f.u. Its total magnetization is 0.14 μB/atom. As for the space-group type: I-4m2.



[10]
The following is a PBE-GGA calculation of NaOsO3 after structural relaxation, from Alexandria.

The structure in POSCAR format:
```
NaOsO3
1.0
-3.014 4.329 3.234
0.689 -2.901 5.097
3.091 4.989 -1.122
Os O Na
2 6 2
Cartesian
-1.217 2.131 4.450
0.529 0.897 3.579
1.900 1.538 4.483
-0.352 3.055 5.715
0.418 1.321 1.855
0.068 -0.755 4.056
-1.709 3.068 3.019
0.765 5.836 3.871
1.882 3.893 4.959
-1.494 5.447 3.011
```

Computed properties:
The calculated volume is 89.3 Å³/f.u. Its total magnetization is 0.00 μB/atom. As for the space-group type: P1.



[11]
The following is a PBE-GGA calculation of NaOs3O after structural relaxation, from Alexandria.

The structure in POSCAR format:
```
NaOs3O
1.0
-3.815 0.479 1.519
-1.536 -2.149 -3.180
0.421 -3.499 2.161
O Os Na
1 3 1
Cartesian
0.000 0.000 0.000
0.210 -1.750 1.081
-1.908 0.240 0.760
-0.768 -1.075 -1.590
-2.465 -2.584 0.250
```

Computed properties:
The calculated volume is 70.7 Å³/f.u. Its total magnetization is 0.00 μB/atom. As for the space-group type: Pm-3m. The calculation puts the energy above the lowest structure with this stoichiometry at 0.00 eV/f.u.



[12]
The following is a PBE-GGA calculation of NaOsO3 after structural relaxation, from Alexandria.

The structure in POSCAR format:
```
NaOsO3
1.0
2.822 -7.493 0.000
2.822 7.493 0.000
0.000 0.000 4.899
O Os Na
6 2 2
Cartesian
1.410 2.543 3.674
0.000 0.000 2.449
4.234 -2.543 1.225
0.000 0.000 0.000
4.234 2.543 3.674
1.410 -2.543 1.225
2.822 6.063 1.225
2.822 -6.063 3.674
2.822 2.893 1.225
2.822 -2.893 3.674
```

Computed properties:
The calculated volume is 103.6 Å³/f.u. Its total magnetization is 0.08 μB/atom. As for the space-group type: Cmcm.



[13]
The following is a PBE-GGA calculation of NaOsO3 after structural relaxation, from Alexandria.

The structure in POSCAR format:
```
NaOsO3
1.0
6.926 0.346 -0.069
2.137 5.472 0.011
-2.265 -2.251 4.930
O Os Na
6 2 2
Cartesian
3.874 0.695 4.147
5.728 3.965 2.126
4.898 0.325 0.002
1.234 1.791 3.057
2.845 4.756 1.461
-0.066 -0.597 4.370
3.036 -0.784 3.637
0.953 0.032 3.050
7.833 3.584 0.901
4.797 4.818 0.030
```

Computed properties:
The calculated volume is 91.4 Å³/f.u. Its total magnetization is 0.00 μB/atom. As for the space-group type: P1.



[14]
The following is a PBE-GGA calculation of NaOsO3 after structural relaxation, from Alexandria.

The structure in POSCAR format:
```
NaOsO3
1.0
4.934 0.000 0.000
0.000 10.542 0.000
0.000 0.000 5.816
O Na Os
12 4 4
Cartesian
0.560 9.418 5.171
4.181 2.636 3.793
4.374 4.147 0.644
1.907 4.147 2.263
3.221 7.907 0.885
3.027 6.395 3.552
3.027 9.418 3.552
0.560 6.395 5.171
0.754 7.907 2.022
4.374 1.124 0.644
1.714 2.636 4.930
1.907 1.124 2.263
0.000 5.271 2.908
2.467 0.000 0.000
2.467 5.271 0.000
0.000 0.000 2.908
2.364 2.636 3.086
0.103 7.907 0.178
4.832 2.636 5.638
2.570 7.907 2.730
```

Computed properties:
The calculated volume is 75.6 Å³/f.u. Its total magnetization is 0.00 μB/atom. As for the space-group type: Pnma.



[15]
The following is a PBE-GGA calculation of NaOsO3 after structural relaxation, from Alexandria.

The structure in POSCAR format:
```
NaOsO3
1.0
-12.236 -0.108 0.588
-5.140 -1.775 -4.802
4.865 -4.934 -2.149
O Na Os
12 4 4
Cartesian
-7.410 -4.010 -3.830
-5.298 -4.992 -4.622
-1.078 -1.344 -1.592
-1.378 -6.038 -6.280
-4.555 -0.720 -0.634
-11.134 -0.779 -0.082
-10.749 -2.621 -2.254
-11.433 -5.473 -4.771
-7.956 -6.097 -5.728
-7.214 -1.825 -1.740
-5.101 -2.807 -2.533
-1.762 -4.196 -4.109
-3.745 -6.007 -5.997
-2.725 -2.619 -2.589
-8.767 -0.810 -0.365
-9.786 -4.198 -3.773
-0.758 -5.690 -4.239
-11.754 -1.126 -2.124
-5.718 -3.066 -4.483
-6.794 -3.751 -1.879
```

Computed properties:
The calculated volume is 66.7 Å³/f.u. Its total magnetization is 0.09 μB/atom. As for the space-group type: C2/c.



[16]
The following is a PBE-GGA calculation of NaOsO3 after structural relaxation, from Alexandria.

The structure in POSCAR format:
```
NaOsO3
1.0
3.273 0.000 0.364
0.000 5.052 0.000
-1.136 0.000 6.884
O Os Na
6 2 2
Cartesian
1.643 1.263 4.527
-0.217 0.003 6.094
-0.217 2.523 6.094
2.354 5.049 1.154
2.354 2.528 1.154
0.494 3.789 2.721
0.737 3.789 0.912
1.400 1.263 6.336
0.195 1.263 2.687
1.942 3.789 4.561
```

Computed properties:
The calculated volume is 58.0 Å³/f.u. Its total magnetization is 0.19 μB/atom. As for the space-group type: P2_1/m.



[17]
The following is a PBE-GGA calculation of Na3OsO6 after structural relaxation, from Alexandria.

The structure in POSCAR format:
```
Na3OsO6
1.0
-1.673 -1.434 -5.315
0.738 -4.085 3.983
-9.357 0.935 2.693
O Na Os
12 6 2
Cartesian
-8.650 -0.096 0.574
-3.722 -4.280 1.386
-1.136 -4.055 2.391
-1.806 -3.573 -0.105
-1.150 -1.586 1.487
-7.061 -3.205 -0.724
-8.767 -2.676 1.065
-9.364 -1.765 -1.327
-6.404 -1.219 0.868
-3.605 -1.700 0.896
-7.074 -0.737 -1.628
-3.008 -2.611 3.288
-4.678 0.467 1.346
-1.558 -2.249 -2.017
-4.859 -1.919 -1.067
-8.733 -2.335 3.379
0.000 0.000 0.000
-5.432 -2.665 2.429
-7.887 -1.616 -0.196
-2.405 -2.967 1.557
```

Computed properties:
The calculated volume is 140.2 Å³/f.u. Its total magnetization is 0.10 μB/atom. As for the space-group type: P6_322. The calculation puts the energy above the lowest structure with this stoichiometry at 0.25 eV/f.u.



[18]
The following is a PBE-GGA calculation of Na5OsO6 after structural relaxation, from Alexandria.

The structure in POSCAR format:
```
Na5OsO6
1.0
-0.050 -5.697 -0.116
4.852 2.784 -1.087
2.904 -1.138 4.720
O Na Os
6 5 1
Cartesian
2.602 -2.684 3.584
3.966 -0.323 3.314
3.739 -3.728 0.202
5.104 -1.368 -0.068
1.562 -0.821 0.714
6.144 -3.230 2.802
3.853 -2.026 1.758
3.220 -0.040 -0.764
5.459 0.754 1.440
2.246 -4.805 2.076
1.582 -2.873 -0.440
0.000 0.000 0.000
```

Computed properties:
The calculated volume is 149.4 Å³/f.u. Its total magnetization is 0.09 μB/atom. As for the space-group type: C2/m.



[19]
The following is a PBE-GGA calculation of NaOsO3 after structural relaxation, from Alexandria.

The structure in POSCAR format:
```
NaOsO3
1.0
-2.500 0.466 2.926
-1.480 -3.513 -0.704
2.567 -1.571 2.443
O Na Os
3 1 1
Cartesian
0.438 -2.889 1.220
-2.096 -1.870 1.461
-0.072 -0.899 3.035
-0.105 -0.345 0.348
-0.812 -2.655 2.682
```

Computed properties:
The calculated volume is 58.2 Å³/f.u. Its total magnetization is 0.00 μB/atom. As for the space-group type: Pm-3m.



[20]
The following is a PBE-GGA calculation of NaOsO2 after structural relaxation, from Alexandria.

The structure in POSCAR format:
```
NaOsO2
1.0
4.585 0.000 0.000
0.000 4.585 0.000
2.292 2.292 5.545
O Na Os
4 2 2
Cartesian
3.811 1.146 1.386
5.731 6.103 4.159
0.774 3.439 1.386
3.439 3.066 4.159
2.292 2.292 0.000
2.292 4.585 2.773
0.000 0.000 0.000
4.585 2.292 2.773
```

Computed properties:
The calculated volume is 58.3 Å³/f.u. Its total magnetization is 0.00 μB/atom. As for the space-group type: I-42d.



[21]
The following is a PBE-GGA calculation of NaOs3O after structural relaxation, from Alexandria.

The structure in POSCAR format:
```
NaOs3O
1.0
-3.809 -0.799 -2.368
-2.132 -1.214 3.839
-1.305 4.318 0.641
O Na Os
1 1 3
Cartesian
-3.623 1.152 1.056
0.000 0.000 0.000
-1.904 -0.400 -1.184
-0.652 2.159 0.321
-1.066 -0.607 1.919
```

Computed properties:
The calculated volume is 94.6 Å³/f.u. Its total magnetization is 1.44 μB/atom. As for the space-group type: Pm-3m. The calculation puts the energy above the lowest structure with this stoichiometry at 13.29 eV/f.u.



no.,DOS at the Fermi energy (states/eV/f.u.),uncorrected formation energy (kJ per mole of atoms)
1,0.0,-120.1
2,0.1,-132.8
3,0.7,-100.1
4,6.4,-124.2
5,7.6,-108.1
6,6.1,-96.4
7,6.3,-132.9
8,0.8,-97.2
9,2.3,-18.5
10,0.0,-121.5
11,6.2,110.7
12,3.2,-80.9
13,0.0,-122.0
14,0.8,-96.6
15,1.9,-113.8
16,1.2,-105.0
17,4.9,-109.5
18,5.0,-139.9
19,2.9,-115.4
20,1.5,-59.2
21,6.2,367.2